*w*
LiNbCoGe, relaxed, DFT PBE; magnetic moment = 0.98 μB per formula unit
1.0
0.000 2.972 2.972
2.972 0.000 2.972
2.972 2.972 0.000
Li Ge Co Nb
1 1 1 1
Direct
0.250 0.250 0.250
0.000 0.000 0.000
0.750 0.750 0.750
0.500 0.500 0.500


*x*
LiNbCoGe, relaxed, DFT PBE; magnetic moment = 1.54 μB per formula unit
1.0
-2.472 -1.505 -3.119
-3.027 2.465 -1.692
0.435 1.485 -3.964
Co Nb Li Ge
1 1 1 1
Direct
0.750 0.750 0.750
0.250 0.250 0.250
0.500 0.500 0.500
0.000 0.000 0.000


Energies relative to the minimum, eV/atom: *w* 0.000; *x* 0.239


*w*
LiCoGePb, relaxed, DFT PBE; magnetic moment = 0.11 μB per formula unit
1.0
4.184 -1.586 -0.621
0.715 -4.454 -0.239
1.135 -1.897 -3.939
Ge Pb Li Co
1 1 1 1
Direct
0.000 0.000 0.000
0.500 0.500 0.500
0.750 0.750 0.750
0.250 0.250 0.250


*x*
LiCoGePb, relaxed, DFT PBE; magnetic moment = 0.01 μB per formula unit
1.0
0.000 3.271 3.271
3.271 0.000 3.271
3.271 3.271 0.000
Ge Pb Co Li
1 1 1 1
Direct
0.250 0.250 0.250
0.500 0.500 0.500
0.000 0.000 0.000
0.750 0.750 0.750


Energies relative to the minimum, eV/atom: *w* 0.000; *x* 0.289


*w*
LiCoReGe, relaxed, DFT PBE; magnetic moment = 2.62 μB per formula unit
1.0
-2.449 -3.175 -1.045
-2.030 -2.105 2.936
-4.115 0.359 0.337
Co Re Ge Li
1 1 1 1
Direct
0.750 0.750 0.750
0.500 0.500 0.500
0.000 0.000 0.000
0.250 0.250 0.250


*x*
LiCoReGe, relaxed, DFT PBE; magnetic moment = 1.21 μB per formula unit
1.0
2.386 -1.018 3.232
2.123 2.934 2.013
-1.121 1.107 3.833
Co Li Re Ge
1 1 1 1
Direct
0.750 0.750 0.750
0.500 0.500 0.500
0.250 0.250 0.250
0.000 0.000 0.000


Energies relative to the minimum, eV/atom: *w* 0.000; *x* 0.010